Entry from Alexandria: a geometry-optimized FeAg2Pb structure (GGA-PBE).

total moment	2.86	Bohr magnetons per cell
symmetry	Cm
E_tot	-4.05	eV/atom
energy of formation from the pure elements	0.422	eV per atom
crystal system	monoclinic

Lattice parameters (Å, degrees): 4.992 4.992 5.345 79.47 79.47 36.26
Site moments in Bohr magnetons follow the coordinates.
Atoms (fractional coordinates):
Ag 0.993 0.993 0.035  0.00
Ag 0.243 0.243 0.247  0.00
Fe 0.506 0.506 0.492  2.88
Pb 0.758 0.758 0.725  -0.02

---

Entry from Alexandria: a geometry-optimized FeAgPb2 structure (GGA-PBE).

total moment	3.14	Bohr magnetons per cell
symmetry	F-43m
E_tot	-4.04	eV/atom
energy of formation from the pure elements	0.640	eV per atom
crystal system	cubic

Lattice parameters (Å, degrees): 5.104 5.104 5.104 60.00 60.00 60.00
Site moments in Bohr magnetons follow the coordinates.
Atoms (fractional coordinates):
Ag 0.500 0.500 0.500  0.01
Fe 0.750 0.750 0.750  3.03
Pb 0.000 0.000 0.000  -0.02
Pb 0.250 0.250 0.250  0.01

---

Entry from Alexandria: a geometry-optimized FeAgPb structure (GGA-PBE).

total moment	2.90	Bohr magnetons per cell
symmetry	I4mm
E_tot	-4.51	eV/atom
energy of formation from the pure elements	0.500	eV per atom
crystal system	tetragonal

Lattice parameters (Å, degrees): 6.524 6.524 6.524 152.27 152.28 39.61
Site moments in Bohr magnetons follow the coordinates.
Atoms (fractional coordinates):
Ag 0.979 0.979 0.000  0.02
Fe 0.344 0.344 0.000  2.89
Pb 0.677 0.677 0.000  -0.02

---

Entry from Alexandria: a geometry-optimized FeAg2Pb structure (GGA-PBE).

total moment	2.74	Bohr magnetons per cell
symmetry	Immm
E_tot	-4.11	eV/atom
energy of formation from the pure elements	0.363	eV per atom
crystal system	orthorhombic

Lattice parameters (Å, degrees): 5.935 5.935 5.935 149.74 132.84 57.07
Site moments in Bohr magnetons follow the coordinates.
Atoms (fractional coordinates):
Ag 0.972 0.972 0.000  0.00
Ag 0.528 0.528 0.000  0.00
Fe 0.750 0.250 0.500  2.75
Pb 0.250 0.750 0.500  -0.03

---

Entry from Alexandria: a geometry-optimized FeAg2Pb structure (GGA-PBE).

total moment	2.98	Bohr magnetons per cell
symmetry	Pmmm
E_tot	-4.10	eV/atom
energy of formation from the pure elements	0.368	eV per atom
crystal system	orthorhombic

Lattice parameters (Å, degrees): 3.173 3.311 7.505 90.00 90.00 90.00
Site moments in Bohr magnetons follow the coordinates.
Atoms (fractional coordinates):
Ag 0.000 0.000 0.048  0.00
Ag 0.000 0.000 0.452  0.00
Fe 0.500 0.500 0.250  3.00
Pb 0.500 0.500 0.750  0.00

---

Entry from Alexandria: a geometry-optimized FeAgPb2 structure (GGA-PBE).

total moment	2.82	Bohr magnetons per cell
symmetry	R3m
E_tot	-4.27	eV/atom
energy of formation from the pure elements	0.417	eV per atom
crystal system	trigonal

Lattice parameters (Å, degrees): 10.171 10.171 10.171 18.66 18.66 18.66
Site moments in Bohr magnetons follow the coordinates.
Atoms (fractional coordinates):
Ag 0.513 0.513 0.513  0.01
Fe 0.242 0.242 0.242  2.93
Pb 0.983 0.983 0.983  -0.05
Pb 0.762 0.762 0.762  0.00

---

Entry from Alexandria: a geometry-optimized FeAgPb2 structure (GGA-PBE).

total moment	0.00	Bohr magnetons per cell
symmetry	I-42d
E_tot	-4.11	eV/atom
energy of formation from the pure elements	0.572	eV per atom
crystal system	tetragonal

Lattice parameters (Å, degrees): 9.610 9.610 7.289 48.76 48.76 90.00
Atoms (fractional coordinates):
Pb 0.376 0.125 0.250
Pb 0.374 0.625 0.250
Pb 0.375 0.624 0.750
Pb 0.875 0.626 0.750
Fe 0.500 0.500 0.000
Fe 0.250 0.750 0.500
Ag 0.000 0.000 0.000
Ag 0.750 0.250 0.500

---

Entry from Alexandria: a geometry-optimized Fe2Ag2Pb structure (GGA-PBE).

total moment	5.43	Bohr magnetons per cell
symmetry	I4/mmm
E_tot	-4.79	eV/atom
energy of formation from the pure elements	0.472	eV per atom
crystal system	tetragonal

Lattice parameters (Å, degrees): 8.865 8.865 8.865 158.15 158.15 31.10
Site moments in Bohr magnetons follow the coordinates.
Atoms (fractional coordinates):
Fe 0.250 0.750 0.500  2.65
Fe 0.750 0.250 0.500  2.65
Ag 0.622 0.622 0.000  0.03
Ag 0.378 0.378 0.000  0.03
Pb 0.000 0.000 0.000  0.01

---

Entry from Alexandria: a geometry-optimized FeAgPb3 structure (GGA-PBE).

total moment	1.00	Bohr magnetons per cell
symmetry	Pm-3m
E_tot	-4.10	eV/atom
energy of formation from the pure elements	0.390	eV per atom
crystal system	cubic

Lattice parameters (Å, degrees): 5.118 5.118 5.118 90.00 90.00 90.00
Site moments in Bohr magnetons follow the coordinates.
Atoms (fractional coordinates):
Pb 0.000 0.500 0.000  -0.03
Pb 0.000 0.000 0.500  -0.01
Pb 0.500 0.000 0.000  -0.06
Fe 0.000 0.000 0.000  1.19
Ag 0.500 0.500 0.500  -0.03

---

Entry from Alexandria: a geometry-optimized FeAgPb structure (GGA-PBE).

total moment	2.57	Bohr magnetons per cell
symmetry	F-43m
E_tot	-4.48	eV/atom
energy of formation from the pure elements	0.523	eV per atom
crystal system	cubic

Lattice parameters (Å, degrees): 4.494 4.494 4.494 60.00 60.00 60.00
Site moments in Bohr magnetons follow the coordinates.
Atoms (fractional coordinates):
Ag 0.500 0.500 0.500  0.01
Fe 0.750 0.750 0.750  2.65
Pb 0.000 0.000 0.000  -0.09

---

Entry from Alexandria: a geometry-optimized Fe2AgPb2 structure (GGA-PBE).

total moment	0.00	Bohr magnetons per cell
symmetry	I4/mmm
E_tot	-4.66	eV/atom
energy of formation from the pure elements	0.778	eV per atom
crystal system	tetragonal

Lattice parameters (Å, degrees): 5.030 5.030 5.279 61.55 61.55 90.00
Atoms (fractional coordinates):
Pb 0.750 0.250 0.500
Pb 0.250 0.750 0.500
Fe 0.369 0.369 0.262
Fe 0.631 0.631 0.738
Ag 0.000 0.000 0.000

---

Entry from Alexandria: a geometry-optimized FeAg2Pb structure (GGA-PBE).

total moment	3.12	Bohr magnetons per cell
symmetry	R-3m
E_tot	-4.05	eV/atom
energy of formation from the pure elements	0.423	eV per atom
crystal system	trigonal

Lattice parameters (Å, degrees): 9.667 9.667 9.667 18.60 18.60 18.60
Site moments in Bohr magnetons follow the coordinates.
Atoms (fractional coordinates):
Ag 0.989 0.989 0.989  0.01
Ag 0.511 0.511 0.511  0.01
Fe 0.250 0.250 0.250  3.10
Pb 0.750 0.750 0.750  0.00

---

Entry from Alexandria: a geometry-optimized FeAgPb2 structure (GGA-PBE).

total moment	2.44	Bohr magnetons per cell
symmetry	Imm2
E_tot	-4.30	eV/atom
energy of formation from the pure elements	0.381	eV per atom
crystal system	orthorhombic

Lattice parameters (Å, degrees): 6.980 6.980 6.980 153.77 142.13 46.65
Site moments in Bohr magnetons follow the coordinates.
Atoms (fractional coordinates):
Ag 0.433 0.433 0.000  0.00
Fe 0.248 0.748 0.500  2.56
Pb 0.052 0.052 0.000  -0.04
Pb 0.767 0.267 0.500  -0.05

---

Entry from Alexandria: a geometry-optimized FeAgPb2 structure (GGA-PBE).

total moment	2.58	Bohr magnetons per cell
symmetry	Cmmm
E_tot	-4.25	eV/atom
energy of formation from the pure elements	0.437	eV per atom
crystal system	orthorhombic

Lattice parameters (Å, degrees): 3.275 3.275 8.411 90.00 90.00 96.43
Site moments in Bohr magnetons follow the coordinates.
Atoms (fractional coordinates):
Ag 0.500 0.500 0.250  0.01
Fe 0.500 0.500 0.750  2.70
Pb 0.000 0.000 0.975  -0.05
Pb 0.000 0.000 0.525  -0.05

---

Entry from Alexandria: a geometry-optimized FeAg2Pb structure (GGA-PBE).

total moment	2.76	Bohr magnetons per cell
symmetry	P4/mmm
E_tot	-4.09	eV/atom
energy of formation from the pure elements	0.378	eV per atom
crystal system	tetragonal

Lattice parameters (Å, degrees): 4.078 4.078 4.524 90.00 90.00 90.00
Site moments in Bohr magnetons follow the coordinates.
Atoms (fractional coordinates):
Ag 0.000 0.000 0.000  -0.01
Ag 0.500 0.500 0.000  -0.01
Fe 0.500 0.000 0.500  2.84
Pb 0.000 0.500 0.500  -0.04

---

Entry from Alexandria: a geometry-optimized FeAg4Pb structure (GGA-PBE).

total moment	3.22	Bohr magnetons per cell
symmetry	F-43m
E_tot	-3.51	eV/atom
energy of formation from the pure elements	0.424	eV per atom
crystal system	cubic

Lattice parameters (Å, degrees): 5.544 5.544 5.544 60.00 60.00 60.00
Site moments in Bohr magnetons follow the coordinates.
Atoms (fractional coordinates):
Fe 0.750 0.750 0.750  3.15
Ag 0.376 0.873 0.376  0.00
Ag 0.873 0.376 0.376  0.00
Ag 0.376 0.376 0.873  0.00
Ag 0.376 0.376 0.376  0.00
Pb 0.000 0.000 0.000  -0.03

---

Entry from Alexandria: a geometry-optimized FeAgPb2 structure (GGA-PBE).

total moment	2.92	Bohr magnetons per cell
symmetry	P4/mmm
E_tot	-4.24	eV/atom
energy of formation from the pure elements	0.445	eV per atom
crystal system	tetragonal

Lattice parameters (Å, degrees): 5.217 5.217 3.277 90.00 90.00 89.97
Site moments in Bohr magnetons follow the coordinates.
Atoms (fractional coordinates):
Ag 0.500 0.000 0.500  0.01
Fe 0.000 0.500 0.500  2.91
Pb 0.000 0.000 0.000  -0.01
Pb 0.500 0.500 0.000  -0.01

---

Entry from Alexandria: a geometry-optimized Fe2AgPb2 structure (GGA-PBE).

total moment	0.00	Bohr magnetons per cell
symmetry	P4/mbm
E_tot	-4.82	eV/atom
energy of formation from the pure elements	0.616	eV per atom
crystal system	tetragonal

Lattice parameters (Å, degrees): 6.825 6.825 3.915 90.00 90.00 90.00
Atoms (fractional coordinates):
Pb 0.177 0.677 0.500
Pb 0.677 0.823 0.500
Pb 0.823 0.323 0.500
Pb 0.323 0.177 0.500
Fe 0.383 0.883 0.000
Fe 0.883 0.617 0.000
Fe 0.617 0.117 0.000
Fe 0.117 0.383 0.000
Ag 0.000 0.000 0.000
Ag 0.500 0.500 0.000

---

Entry from Alexandria: a geometry-optimized FeAg3Pb structure (GGA-PBE).

total moment	2.88	Bohr magnetons per cell
symmetry	Pm-3m
E_tot	-3.41	eV/atom
energy of formation from the pure elements	0.733	eV per atom
crystal system	cubic

Lattice parameters (Å, degrees): 4.922 4.922 4.922 90.00 90.00 90.00
Site moments in Bohr magnetons follow the coordinates.
Atoms (fractional coordinates):
Pb 0.500 0.500 0.500  -0.02
Fe 0.000 0.000 0.000  2.82
Ag 0.000 0.500 0.000  0.03
Ag 0.000 0.000 0.500  0.07
Ag 0.500 0.000 0.000  0.00

---

Entry from Alexandria: a geometry-optimized FeAg2Pb structure (GGA-PBE).

total moment	2.83	Bohr magnetons per cell
symmetry	Cmmm
E_tot	-4.02	eV/atom
energy of formation from the pure elements	0.453	eV per atom
crystal system	orthorhombic

Lattice parameters (Å, degrees): 5.170 5.170 3.160 90.00 90.00 113.33
Site moments in Bohr magnetons follow the coordinates.
Atoms (fractional coordinates):
Ag 0.000 0.000 0.000  -0.01
Ag 0.500 0.500 0.000  -0.01
Fe 0.500 0.000 0.500  2.94
Pb 0.000 0.500 0.500  -0.02